Computed, not measured: a relaxed NaNpPt4 crystal at the PBE level of DFT.

a = 5.3754 Å, b = 5.3754 Å, c = 5.3754 Å
α = 60.00°, β = 60.00°, γ = 60.00°
Element x y z (fractional)
Na  0.5000  0.5000  0.5000
Pt  0.8747  0.8747  0.8747
Pt  0.8747  0.3759  0.8747
Pt  0.3759  0.8747  0.8747
Pt  0.8747  0.8747  0.3759
Np  0.2500  0.2500  0.2500

* space group: F-43m, No. 216
* total DFT energy (no corrections): -40.7 eV/cell